*w*
# Sm2InRu, relaxed, DFT PBE
# **Density of states at the Fermi level**: 10.11 states/eV per cell
# **Calculated density**: 8.8 g/cm3
# **Magnetic moment**: 0.00 μB per cell
data_Sm2InRu
_space_group_name_H-M_alt 'F m -3 m'
_space_group_IT_number 225
_space_group_name_Hall '-F 4 2 3'
_cell_length_a 7.309
_cell_length_b 7.309
_cell_length_c 7.309
_cell_angle_alpha 90.00
_cell_angle_beta 90.00
_cell_angle_gamma 90.00
loop_
_atom_site_label
_atom_site_type_symbol
_atom_site_fract_x
_atom_site_fract_y
_atom_site_fract_z
_atom_site_occupancy
Sm1 Sm 0.250 0.250 0.250 1
In1 In 0.000 0.000 0.000 1
Ru1 Ru 0.000 0.000 0.500 1

---

*x*
# Sm2InRu, relaxed, DFT PBE
# **Density of states at the Fermi level**: 1.92 states/eV per cell
# **Calculated density**: 8.8 g/cm3
# **Magnetic moment**: 0.00 μB per cell
data_Sm2InRu
_space_group_name_H-M_alt 'P 4/m m m'
_space_group_IT_number 123
_space_group_name_Hall '-P 4 2'
_cell_length_a 5.105
_cell_length_b 5.105
_cell_length_c 3.738
_cell_angle_alpha 90.00
_cell_angle_beta 90.00
_cell_angle_gamma 90.00
loop_
_atom_site_label
_atom_site_type_symbol
_atom_site_fract_x
_atom_site_fract_y
_atom_site_fract_z
_atom_site_occupancy
Sm1 Sm 0.000 0.500 0.000 1
In1 In 0.000 0.000 0.500 1
Ru1 Ru 0.500 0.500 0.500 1

---

*y*
# Sm2InRu, relaxed, DFT PBE
# **Density of states at the Fermi level**: 4.20 states/eV per cell
# **Calculated density**: 8.5 g/cm3
# **Magnetic moment**: 0.00 μB per cell
data_Sm2InRu
_space_group_name_H-M_alt 'P 4/m m m'
_space_group_IT_number 123
_space_group_name_Hall '-P 4 2'
_cell_length_a 3.425
_cell_length_b 3.425
_cell_length_c 8.562
_cell_angle_alpha 90.00
_cell_angle_beta 90.00
_cell_angle_gamma 90.00
loop_
_atom_site_label
_atom_site_type_symbol
_atom_site_fract_x
_atom_site_fract_y
_atom_site_fract_z
_atom_site_occupancy
Sm1 Sm 0.000 0.000 0.202 1
In1 In 0.500 0.500 0.500 1
Ru1 Ru 0.500 0.500 0.000 1

---

*z*
# Sm2InRu, relaxed, DFT PBE
# **Density of states at the Fermi level**: 10.14 states/eV per cell
# **Calculated density**: 8.0 g/cm3
# **Magnetic moment**: 0.00 μB per cell
data_Sm2InRu
_space_group_name_H-M_alt 'R -3 m'
_space_group_IT_number 166
_space_group_name_Hall '-R 3 2"'
_cell_length_a 3.7613
_cell_length_b 3.7613
_cell_length_c 26.3463
_cell_angle_alpha 90.00
_cell_angle_beta 90.00
_cell_angle_gamma 120.00
loop_
_atom_site_label
_atom_site_type_symbol
_atom_site_fract_x
_atom_site_fract_y
_atom_site_fract_z
_atom_site_occupancy
Sm1 Sm 0.0000 0.0000 0.2356 1
In1 In 0.0000 0.0000 0.0000 1
Ru1 Ru 0.0000 0.0000 0.5000 1

---

Which of them is most stable? Easy: *y*.

---

*w*
# Sm3InRu, relaxed, DFT PBE
# **Density of states at the Fermi level**: 9.04 states/eV per cell
# **Calculated density**: 7.9 g/cm3
# **Magnetic moment**: 0.00 μB per cell
data_Sm3InRu
_space_group_name_H-M_alt 'P 1'
_space_group_IT_number 1
_space_group_name_Hall 'P 1'
_cell_length_a 5.942
_cell_length_b 6.822
_cell_length_c 7.903
_cell_angle_alpha 112.24
_cell_angle_beta 92.98
_cell_angle_gamma 106.66
loop_
_atom_site_label
_atom_site_type_symbol
_atom_site_fract_x
_atom_site_fract_y
_atom_site_fract_z
_atom_site_occupancy
Sm1 Sm 0.000 0.000 0.000 1
Sm2 Sm 0.084 0.600 0.265 1
Sm3 Sm 0.414 0.699 0.720 1
Sm4 Sm 0.535 0.287 0.328 1
Sm5 Sm 0.707 0.879 0.386 1
Sm6 Sm 0.874 0.376 0.761 1
In1 In 0.271 0.092 0.617 1
In2 In 0.463 0.451 0.002 1
Ru1 Ru 0.043 0.279 0.411 1
Ru2 Ru 0.882 0.703 0.609 1

---

*x*
# Sm3InRu, relaxed, DFT PBE
# **Density of states at the Fermi level**: 27.65 states/eV per cell
# **Calculated density**: 8.2 g/cm3
# **Magnetic moment**: 0.00 μB per cell
data_Sm3InRu
_space_group_name_H-M_alt 'F m m m'
_space_group_IT_number 69
_space_group_name_Hall '-F 2 2'
_cell_length_a 6.715
_cell_length_b 9.866
_cell_length_c 16.284
_cell_angle_alpha 90.00
_cell_angle_beta 90.00
_cell_angle_gamma 90.00
loop_
_atom_site_label
_atom_site_type_symbol
_atom_site_fract_x
_atom_site_fract_y
_atom_site_fract_z
_atom_site_occupancy
Sm1 Sm 0.000 0.000 0.200 1
Sm2 Sm 0.000 0.194 0.390 1
In1 In 0.207 0.000 0.000 1
Ru1 Ru 0.250 0.250 0.250 1

---

Which of them is most stable? Easy: *x*.

---

*w*
# Sm6InRu2, relaxed, DFT PBE
# **Density of states at the Fermi level**: 15.09 states/eV per cell
# **Calculated density**: 8.3 g/cm3
# **Magnetic moment**: 0.00 μB per cell
data_Sm6InRu2
_space_group_name_H-M_alt 'C 1 2/m 1'
_space_group_IT_number 12
_space_group_name_Hall '-C 2y'
_cell_length_a 10.335
_cell_length_b 5.132
_cell_length_c 9.400
_cell_angle_alpha 90.00
_cell_angle_beta 102.43
_cell_angle_gamma 90.00
loop_
_atom_site_label
_atom_site_type_symbol
_atom_site_fract_x
_atom_site_fract_y
_atom_site_fract_z
_atom_site_occupancy
Sm1 Sm 0.034 0.000 0.347 1
Sm2 Sm 0.164 0.500 0.882 1
Sm3 Sm 0.207 0.500 0.337 1
In1 In 0.000 0.000 0.000 1
Ru1 Ru 0.116 0.500 0.596 1

---

*x*
# Sm6InRu2, relaxed, DFT PBE
# **Density of states at the Fermi level**: 32.43 states/eV per cell
# **Calculated density**: 8.2 g/cm3
# **Magnetic moment**: 0.00 μB per cell
data_Sm6InRu2
_space_group_name_H-M_alt 'I m m m'
_space_group_IT_number 71
_space_group_name_Hall '-I 2 2'
_cell_length_a 9.565
_cell_length_b 9.757
_cell_length_c 10.624
_cell_angle_alpha 90.00
_cell_angle_beta 90.00
_cell_angle_gamma 90.00
loop_
_atom_site_label
_atom_site_type_symbol
_atom_site_fract_x
_atom_site_fract_y
_atom_site_fract_z
_atom_site_occupancy
Sm1 Sm 0.000 0.204 0.238 1
Sm2 Sm 0.188 0.500 0.172 1
Sm3 Sm 0.213 0.317 0.500 1
In1 In 0.000 0.000 0.000 1
In2 In 0.000 0.000 0.500 1
Ru1 Ru 0.000 0.324 0.000 1
Ru2 Ru 0.000 0.500 0.375 1

---

Which of them is most stable? Easy: *x*.

---

*w*
# SrIn2SnRu, relaxed, DFT PBE
# **Density of states at the Fermi level**: 4.09 states/eV per cell
# **Calculated density**: 4.7 g/cm3
# **Magnetic moment**: 2.10 μB per cell
data_SrIn2SnRu
_space_group_name_H-M_alt 'P 4/m m m'
_space_group_IT_number 123
_space_group_name_Hall '-P 4 2'
_cell_length_a 5.546
_cell_length_b 5.546
_cell_length_c 6.201
_cell_angle_alpha 90.00
_cell_angle_beta 90.00
_cell_angle_gamma 90.00
loop_
_atom_site_label
_atom_site_type_symbol
_atom_site_fract_x
_atom_site_fract_y
_atom_site_fract_z
_atom_site_occupancy
Sr1 Sr 0.000 0.000 0.000 1
In1 In 0.000 0.500 0.500 1
Sn1 Sn 0.000 0.000 0.500 1
Ru1 Ru 0.500 0.500 0.000 1

---

*x*
# SrIn2SnRu, relaxed, DFT PBE
# **Density of states at the Fermi level**: 3.36 states/eV per cell
# **Calculated density**: 6.4 g/cm3
# **Magnetic moment**: 0.00 μB per cell
data_SrIn2SnRu
_space_group_name_H-M_alt 'P 4/m m m'
_space_group_IT_number 123
_space_group_name_Hall '-P 4 2'
_cell_length_a 5.185
_cell_length_b 5.185
_cell_length_c 5.155
_cell_angle_alpha 90.00
_cell_angle_beta 90.00
_cell_angle_gamma 90.00
loop_
_atom_site_label
_atom_site_type_symbol
_atom_site_fract_x
_atom_site_fract_y
_atom_site_fract_z
_atom_site_occupancy
Sr1 Sr 0.000 0.000 0.000 1
In1 In 0.000 0.500 0.500 1
Sn1 Sn 0.500 0.500 0.000 1
Ru1 Ru 0.500 0.500 0.500 1

---

Which of them is most stable? Easy: *x*.

---

*w*
# TaIn2Ru, relaxed, DFT PBE
# **Density of states at the Fermi level**: 3.97 states/eV per cell
# **Calculated density**: 11.5 g/cm3
# **Magnetic moment**: 0.00 μB per cell
data_TaIn2Ru
_space_group_name_H-M_alt 'P 4/m m m'
_space_group_IT_number 123
_space_group_name_Hall '-P 4 2'
_cell_length_a 4.134
_cell_length_b 4.134
_cell_length_c 4.313
_cell_angle_alpha 90.00
_cell_angle_beta 90.00
_cell_angle_gamma 90.00
loop_
_atom_site_label
_atom_site_type_symbol
_atom_site_fract_x
_atom_site_fract_y
_atom_site_fract_z
_atom_site_occupancy
Ta1 Ta 0.000 0.000 0.000 1
In1 In 0.000 0.500 0.500 1
Ru1 Ru 0.500 0.500 0.000 1

---

*x*
# TaIn2Ru, relaxed, DFT PBE
# **Density of states at the Fermi level**: 2.48 states/eV per cell
# **Calculated density**: 11.4 g/cm3
# **Magnetic moment**: 0.00 μB per cell
data_TaIn2Ru
_space_group_name_H-M_alt 'P 1 2/m 1'
_space_group_IT_number 10
_space_group_name_Hall '-P 2y'
_cell_length_a 3.048
_cell_length_b 4.578
_cell_length_c 5.453
_cell_angle_alpha 90.00
_cell_angle_beta 101.00
_cell_angle_gamma 90.00
loop_
_atom_site_label
_atom_site_type_symbol
_atom_site_fract_x
_atom_site_fract_y
_atom_site_fract_z
_atom_site_occupancy
Ta1 Ta 0.000 0.000 0.000 1
In1 In 0.317 0.500 0.741 1
Ru1 Ru 0.500 0.000 0.500 1

---

*y*
# TaIn2Ru, relaxed, DFT PBE
# **Density of states at the Fermi level**: 7.01 states/eV per cell
# **Calculated density**: 11.3 g/cm3
# **Magnetic moment**: 0.00 μB per cell
data_TaIn2Ru
_space_group_name_H-M_alt 'I m m m'
_space_group_IT_number 71
_space_group_name_Hall '-I 2 2'
_cell_length_a 3.103
_cell_length_b 5.026
_cell_length_c 9.628
_cell_angle_alpha 90.00
_cell_angle_beta 90.00
_cell_angle_gamma 90.00
loop_
_atom_site_label
_atom_site_type_symbol
_atom_site_fract_x
_atom_site_fract_y
_atom_site_fract_z
_atom_site_occupancy
Ta1 Ta 0.000 0.000 0.000 1
In1 In 0.000 0.500 0.235 1
Ru1 Ru 0.000 0.000 0.500 1

---

*z*
# TaIn2Ru, relaxed, DFT PBE
# **Density of states at the Fermi level**: 2.81 states/eV per cell
# **Calculated density**: 11.4 g/cm3
# **Magnetic moment**: 0.00 μB per cell
data_TaIn2Ru
_space_group_name_H-M_alt 'P m m m'
_space_group_IT_number 47
_space_group_name_Hall '-P 2 2'
_cell_length_a 3.147
_cell_length_b 4.779
_cell_length_c 4.977
_cell_angle_alpha 90.00
_cell_angle_beta 90.00
_cell_angle_gamma 90.00
loop_
_atom_site_label
_atom_site_type_symbol
_atom_site_fract_x
_atom_site_fract_y
_atom_site_fract_z
_atom_site_occupancy
Ta1 Ta 0.000 0.000 0.000 1
In1 In 0.000 0.500 0.500 1
In2 In 0.500 0.500 0.000 1
Ru1 Ru 0.500 0.000 0.500 1

---

Which of them is most stable? Easy: *y*.

---

*w*
# TaIn2Ru, relaxed, DFT PBE
# **Density of states at the Fermi level**: 7.80 states/eV per cell
# **Calculated density**: 11.3 g/cm3
# **Magnetic moment**: 0.00 μB per cell
data_TaIn2Ru
_space_group_name_H-M_alt 'C m m m'
_space_group_IT_number 65
_space_group_name_Hall '-C 2 2'
_cell_length_a 3.277
_cell_length_b 4.966
_cell_length_c 9.251
_cell_angle_alpha 90.00
_cell_angle_beta 90.00
_cell_angle_gamma 90.00
loop_
_atom_site_label
_atom_site_type_symbol
_atom_site_fract_x
_atom_site_fract_y
_atom_site_fract_z
_atom_site_occupancy
Ta1 Ta 0.000 0.000 0.000 1
In1 In 0.000 0.500 0.266 1
Ru1 Ru 0.000 0.000 0.500 1

---

*x*
# TaIn2Ru, relaxed, DFT PBE
# **Density of states at the Fermi level**: 12.22 states/eV per cell
# **Calculated density**: 10.5 g/cm3
# **Magnetic moment**: 0.00 μB per cell
data_TaIn2Ru
_space_group_name_H-M_alt 'I -4 2 d'
_space_group_IT_number 122
_space_group_name_Hall 'I -4 2bw'
_cell_length_a 7.601
_cell_length_b 7.601
_cell_length_c 5.578
_cell_angle_alpha 90.00
_cell_angle_beta 90.00
_cell_angle_gamma 90.00
loop_
_atom_site_label
_atom_site_type_symbol
_atom_site_fract_x
_atom_site_fract_y
_atom_site_fract_z
_atom_site_occupancy
Ta1 Ta 0.000 0.000 0.000 1
In1 In 0.228 0.250 0.625 1
Ru1 Ru 0.000 0.000 0.500 1

---

*y*
# TaIn2Ru, relaxed, DFT PBE
# **Density of states at the Fermi level**: 4.24 states/eV per cell
# **Calculated density**: 11.6 g/cm3
# **Magnetic moment**: 0.00 μB per cell
data_TaIn2Ru
_space_group_name_H-M_alt 'I -4 m 2'
_space_group_IT_number 119
_space_group_name_Hall 'I -4 -2'
_cell_length_a 4.191
_cell_length_b 4.191
_cell_length_c 8.371
_cell_angle_alpha 90.00
_cell_angle_beta 90.00
_cell_angle_gamma 90.00
loop_
_atom_site_label
_atom_site_type_symbol
_atom_site_fract_x
_atom_site_fract_y
_atom_site_fract_z
_atom_site_occupancy
Ta1 Ta 0.000 0.000 0.000 1
In1 In 0.000 0.000 0.500 1
In2 In 0.000 0.500 0.750 1
Ru1 Ru 0.000 0.500 0.250 1

---

*z*
# TaIn2Ru, relaxed, DFT PBE
# **Density of states at the Fermi level**: 1.18 states/eV per cell
# **Calculated density**: 10.6 g/cm3
# **Magnetic moment**: 0.00 μB per cell
data_TaIn2Ru
_space_group_name_H-M_alt 'P 1 m 1'
_space_group_IT_number 6
_space_group_name_Hall 'P -2y'
_cell_length_a 3.135
_cell_length_b 3.058
_cell_length_c 8.465
_cell_angle_alpha 90.00
_cell_angle_beta 100.58
_cell_angle_gamma 90.00
loop_
_atom_site_label
_atom_site_type_symbol
_atom_site_fract_x
_atom_site_fract_y
_atom_site_fract_z
_atom_site_occupancy
Ta1 Ta 0.000 0.000 0.000 1
In1 In 0.629 0.500 0.259 1
In2 In 0.798 0.000 0.592 1
Ru1 Ru 0.411 0.500 0.820 1

---

Which of them is most stable? Easy: *z*.